(1)
## ReHF2 (PBE)

Data for crystalline ReHF2 at its relaxed geometry.

Cell and atoms, written as CIF:
```
data_ReHF2
_space_group_name_H-M_alt 'P 1'
_space_group_IT_number 1
_cell_length_a 6.2127
_cell_length_b 6.2127
_cell_length_c 6.2127
_cell_angle_alpha 24.67
_cell_angle_beta 24.67
_cell_angle_gamma 24.67
loop_
_space_group_symop_operation_xyz
'x,y,z'
loop_
_atom_site_label
_atom_site_type_symbol
_atom_site_fract_x
_atom_site_fract_y
_atom_site_fract_z
Re1 Re 0.0000 0.0000 0.0000
H1 H 0.5000 0.5000 0.5000
F1 F 0.1134 0.1134 0.1134
F2 F 0.8866 0.8866 0.8866
```

Values from the calculation:
**Distance to the lowest polymorph of the same formula**: 0.014 eV per atom
**Calculated total energy**: -5.43 eV per atom
**Space-group type**: R-3m

=====

(2)
## Ce8Sn2Ir3 (PBE)

Data for crystalline Ce8Sn2Ir3 at its relaxed geometry.

Cell and atoms, written as CIF:
```
data_Ce8Sn2Ir3
_space_group_name_H-M_alt 'P 1'
_space_group_IT_number 1
_cell_length_a 9.1773
_cell_length_b 9.1773
_cell_length_c 6.8523
_cell_angle_alpha 107.58
_cell_angle_beta 107.58
_cell_angle_gamma 44.93
loop_
_space_group_symop_operation_xyz
'x,y,z'
loop_
_atom_site_label
_atom_site_type_symbol
_atom_site_fract_x
_atom_site_fract_y
_atom_site_fract_z
Ce1 Ce 0.0886 0.0886 0.4107
Ce2 Ce 0.1840 0.6233 0.0968
Ce3 Ce 0.3184 0.3184 0.4286
Ce4 Ce 0.3767 0.8160 0.9032
Ce5 Ce 0.6233 0.1840 0.0968
Ce6 Ce 0.6816 0.6816 0.5714
Ce7 Ce 0.8160 0.3767 0.9032
Ce8 Ce 0.9114 0.9114 0.5893
Sn1 Sn 0.2394 0.2394 0.8233
Sn2 Sn 0.7606 0.7606 0.1767
Ir1 Ir 0.0000 0.0000 0.0000
Ir2 Ir 0.3083 0.6917 0.5000
Ir3 Ir 0.6917 0.3083 0.5000
```

Values from the calculation:
**Calculated total energy**: -6.71 eV per atom
**Space-group type**: C2/m
**Calculated formation energy**: -38 kJ/mol of atoms

=====

(3)
## PaS (PBE)

Data for crystalline PaS at its relaxed geometry.

Cell and atoms, written as CIF:
```
data_PaS
_space_group_name_H-M_alt 'P 1'
_space_group_IT_number 1
_cell_length_a 3.8968
_cell_length_b 3.8968
_cell_length_c 3.8968
_cell_angle_alpha 60.00
_cell_angle_beta 60.00
_cell_angle_gamma 60.00
loop_
_space_group_symop_operation_xyz
'x,y,z'
loop_
_atom_site_label
_atom_site_type_symbol
_atom_site_fract_x
_atom_site_fract_y
_atom_site_fract_z
Pa1 Pa 0.0000 0.0000 0.0000
S1 S 0.5000 0.5000 0.5000
```

Values from the calculation:
**Distance to the lowest polymorph of the same formula**: 0.000 eV per atom
**Calculated total energy**: -8.41 eV per atom
**Space-group type**: Fm-3m

=====

no.,total moment (μB/f.u.),calculated volume (Å³ per cell)
1,0.000,36.7
2,7.359,385.2
3,0.269,41.8